# 1
Density functional theory data (PBE-GGA) for Al2S2Br after structural relaxation.

a b c (Å): 7.6889 7.6889 7.2172
angles (deg): 122.19 122.19 90.00
With the nearest neighbours (Å) after each atom.
Element x y z (fractional)
Al: 0.8636 0.1638 0.3276  3 S 2.32-2.34, 1 Br 2.55
Al: 0.4138 0.6136 0.8276  3 S 2.32-2.34, 1 Br 2.55
Al: 0.4640 0.1638 0.3276  3 S 2.32-2.34, 1 Br 2.55
Al: 0.4138 0.2140 0.8276  3 S 2.32-2.34, 1 Br 2.55
S: 0.6512 0.9230 0.3023  3 Al 2.32-2.34
S: 0.6512 0.3793 0.3023  3 Al 2.32-2.34
S: 0.1730 0.4012 0.8023  3 Al 2.32-2.34
S: 0.6293 0.4012 0.8023  3 Al 2.32-2.34
Br: 0.0507 0.0507 0.1014  2 Al 2.55
Br: 0.3007 0.8007 0.6014  2 Al 2.55

## Properties
Electronic total energy, hartree per atom: -0.1548
Total magnetization, μB per atom: 0.141
Crystal system: tetragonal
Relative energy among the computed polymorphs, meV per atom: 13
E_form (uncorrected), eV per formula unit: -3.65
Space-group type: I4_1md (109)

# 2
Density functional theory data (PBE-GGA) for Al2S2Br after structural relaxation.

a b c (Å): 3.5829 3.5829 8.0822
angles (deg): 102.81 102.81 90.00
With the nearest neighbours (Å) after each atom.
Element x y z (fractional)
S: 0.6733 0.6733 0.3467  5 Al 2.48-2.54
S: 0.3267 0.3267 0.6533  5 Al 2.48-2.54
Al: 0.8347 0.8347 0.6693  5 S 2.48-2.54, 1 Br 2.54
Al: 0.1653 0.1653 0.3307  5 S 2.48-2.54, 1 Br 2.54
Br: 0.0000 0.0000 0.0000  2 Al 2.54

## Properties
Electronic total energy, hartree per atom: -0.1553
Total magnetization, μB per atom: 0.000
Crystal system: tetragonal
Relative energy among the computed polymorphs, meV per atom: 0
E_form (uncorrected), eV per formula unit: -3.72
Space-group type: I4/mmm (139)

# 3
Density functional theory data (PBE-GGA) for AlSBr3 after structural relaxation.

a b c (Å): 5.1217 5.1217 5.1217
angles (deg): 90.00 90.00 90.00
With the nearest neighbours (Å) after each atom.
Element x y z (fractional)
Br: 0.5000 0.0000 0.0000  2 Al 2.56
Br: 0.0000 0.5000 0.0000  2 Al 2.56
Br: 0.0000 0.0000 0.5000  2 Al 2.56
S: 0.5000 0.5000 0.5000  12 Br 3.62
Al: 0.0000 0.0000 0.0000  6 Br 2.56

## Properties
Electronic total energy, hartree per atom: -0.0951
Total magnetization, μB per atom: 0.450
Crystal system: cubic
Relative energy among the computed polymorphs, meV per atom: 407
E_form (uncorrected), eV per formula unit: -0.04
Space-group type: Pm-3m (221)

- Which value of E_form (uncorrected) does entry 2 give?
  -3.72 eV per formula unit

- Look up the electronic total energy of the third one.
  -0.0951 hartree per atom

- Which formula does entry 2 have?
  Al2S2Br